Entry 1:
Entry from Alexandria: Tb5NdY5 after structural relaxation (PBE-GGA).

Cell lengths 6.097, 6.097, 11.716 Å; angles 90.00, 90.00, 120.00 degrees
Fractional coordinates of all 11 atoms:
1 Y 0.000 0.000 0.738
2 Y 0.334 0.167 0.500
3 Y 0.833 0.666 0.500
4 Y 0.000 0.000 0.262
5 Y 0.833 0.167 0.500
6 Tb 0.000 0.000 0.000
7 Tb 0.667 0.333 0.844
8 Tb 0.667 0.333 0.156
9 Tb 0.333 0.667 0.322
10 Tb 0.333 0.667 0.678
11 Nd 0.333 0.667 0.000

Total magnetic moment ... 0.0 μB per formula unit
Crystal system ... hexagonal
Distance to the lowest polymorph of the same formula ... 43.8 meV per atom
Calculated formation energy ... 340 meV per atom
Density of states at the Fermi level ... 22.2 states/eV/cell

***

Entry 2:
Entry from Alexandria: TlB3Sb after structural relaxation (PBE-GGA).

Cell lengths 4.583, 4.583, 4.583 Å; angles 90.00, 90.00, 90.00 degrees
Fractional coordinates of all 5 atoms:
1 Tl 0.500 0.500 0.500
2 Sb 0.000 0.000 0.000
3 B 0.000 0.000 0.500
4 B 0.500 0.000 0.000
5 B 0.000 0.500 0.000

Total magnetic moment ... 0.0 μB per formula unit
Crystal system ... cubic
Distance to the lowest polymorph of the same formula ... 0.0 meV per atom
Density of states at the Fermi level ... 3.1 states/eV/cell
ΔE_f (raw) ... 9.95 eV/f.u.

***

Entry 3:
Entry from Alexandria: InBRh2 after structural relaxation (PBE-GGA).

Cell lengths 3.186, 3.186, 6.802 Å; angles 76.46, 76.46, 60.00 degrees
Fractional coordinates of all 4 atoms:
1 B 0.500 0.500 0.500
2 Rh 0.777 0.777 0.669
3 Rh 0.223 0.223 0.331
4 In 0.000 0.000 0.000

Total magnetic moment ... 0.0 μB per formula unit
Crystal system ... trigonal
Calculated formation energy ... -362 meV per atom
Density of states at the Fermi level ... 1.5 states/eV/cell

***

Entry 4:
Entry from Alexandria: Si2Se after structural relaxation (PBE-GGA).

Cell lengths 9.428, 9.428, 3.440 Å; angles 90.00, 90.00, 158.89 degrees
Fractional coordinates of all 6 atoms:
1 Se 0.886 0.114 0.250
2 Se 0.114 0.886 0.750
3 Si 0.448 0.552 0.750
4 Si 0.552 0.448 0.250
5 Si 0.768 0.232 0.750
6 Si 0.232 0.768 0.250

Total magnetic moment ... 0.0 μB per formula unit
Crystal system ... orthorhombic
Distance to the lowest polymorph of the same formula ... 550.7 meV per atom
Density of states at the Fermi level ... 2.6 states/eV/cell
ΔE_f (raw) ... 1.15 eV/f.u.

***

> Number 1 is which compound?

Tb5NdY5

***

> density of states at the Fermi level of number 3 (InBRh2)?

1.5 states/eV/cell

***

Repeat the first record exactly.
Entry from Alexandria: Tb5NdY5 after structural relaxation (PBE-GGA).

Cell lengths 6.097, 6.097, 11.716 Å; angles 90.00, 90.00, 120.00 degrees
Fractional coordinates of all 11 atoms:
1 Y 0.000 0.000 0.738
2 Y 0.334 0.167 0.500
3 Y 0.833 0.666 0.500
4 Y 0.000 0.000 0.262
5 Y 0.833 0.167 0.500
6 Tb 0.000 0.000 0.000
7 Tb 0.667 0.333 0.844
8 Tb 0.667 0.333 0.156
9 Tb 0.333 0.667 0.322
10 Tb 0.333 0.667 0.678
11 Nd 0.333 0.667 0.000

Total magnetic moment ... 0.0 μB per formula unit
Crystal system ... hexagonal
Distance to the lowest polymorph of the same formula ... 43.8 meV per atom
Calculated formation energy ... 340 meV per atom
Density of states at the Fermi level ... 22.2 states/eV/cell

***

> Which value of density of states at the Fermi level does entry 4 give?

2.6 states/eV/cell